# 1
Density functional theory data (SCAN) for a crystal of NbBrCl2 relaxed with PBEsol.

## Properties
For the uncorrected formation energy, the calculation gives -274 meV/atom. Its space-group type is No. 166. For the density, the calculation gives 4.1 Mg/m³. The calculated total energy comes out at -17.4101 eV per atom. The density of states at the Fermi level is 2.34 states/eV/cell.

a = 3.2097 Å, b = 3.2097 Å, c = 11.1730 Å
α = 81.74°, β = 81.74°, γ = 60.00°
With the nearest neighbours (Å) after each atom.
Atoms (fractional coordinates):
Nb1 0.0000 0.0000 0.0000  2 Cl 2.25
Cl1 0.9320 0.9320 0.2040  1 Nb 2.25
Cl2 0.0680 0.0680 0.7960  1 Nb 2.25
Br1 0.5000 0.5000 0.5000  6 Br 3.21

# 2
Density functional theory data (SCAN) for a crystal of Be3CdIr relaxed with PBEsol.

## Properties
Its formation energy is 0.931 eV/f.u. Its space-group type is No. 221. For the density, the calculation gives 7.3 Mg/m³. The calculated total energy comes out at -22.7286 eV per atom. The density of states at the Fermi level is 1.43 states/eV/cell.

a = 4.2318 Å, b = 4.2318 Å, c = 4.2318 Å
α = 90.00°, β = 90.00°, γ = 90.00°
With the nearest neighbours (Å) after each atom.
Atoms (fractional coordinates):
Be1 0.0000 0.5000 0.0000  2 Ir 2.12
Be2 0.5000 0.0000 0.0000  2 Ir 2.12
Be3 0.0000 0.0000 0.5000  2 Ir 2.12
Ir1 0.0000 0.0000 0.0000  6 Be 2.12
Cd1 0.5000 0.5000 0.5000  12 Be 2.99

# 3
Density functional theory data (SCAN) for a crystal of K2Se2O7 relaxed with PBEsol.

## Properties
For the uncorrected formation energy, the calculation gives -1241 meV/atom. Its space-group type is No. 15. For the density, the calculation gives 3.2 Mg/m³. The calculated total energy comes out at -10.3711 eV per atom. The density of states at the Fermi level is 0.00 states/eV/cell.

a = 7.4802 Å, b = 7.4802 Å, c = 7.5004 Å
α = 87.20°, β = 87.20°, γ = 60.55°
With the nearest neighbours (Å) after each atom.
Atoms (fractional coordinates):
O1 0.2491 0.6403 0.5232  1 Se 1.64
O2 0.0647 0.9353 0.2500  2 Se 1.83
O3 0.9353 0.0647 0.7500  2 Se 1.83
O4 0.1832 0.1640 0.0542  1 Se 1.63
O5 0.8168 0.8360 0.9458  1 Se 1.63
O6 0.6403 0.2491 0.0232  1 Se 1.64
O7 0.4667 0.8620 0.2740  1 Se 1.64
O8 0.5333 0.1380 0.7260  1 Se 1.64
O9 0.8360 0.8168 0.4458  1 Se 1.63
O10 0.3597 0.7509 0.9768  1 Se 1.64
O11 0.8620 0.4667 0.7740  1 Se 1.64
O12 0.1640 0.1832 0.5542  1 Se 1.63
O13 0.7509 0.3597 0.4768  1 Se 1.64
O14 0.1380 0.5333 0.2260  1 Se 1.64
Se1 0.2862 0.9265 0.1285  4 O 1.63-1.83
Se2 0.7138 0.0735 0.8715  4 O 1.63-1.83
Se3 0.0735 0.7138 0.3715  4 O 1.63-1.83
Se4 0.9265 0.2862 0.6285  4 O 1.63-1.83
K1 0.4969 0.7929 0.6339  7 O 2.72-2.92
K2 0.7929 0.4969 0.1339  7 O 2.72-2.92
K3 0.2071 0.5031 0.8661  7 O 2.72-2.92
K4 0.5031 0.2071 0.3661  7 O 2.72-2.92

# 4
Density functional theory data (SCAN) for a crystal of AlMoS2N relaxed with PBEsol.

## Properties
For the uncorrected formation energy, the calculation gives 272 meV/atom. Its space-group type is No. 123. For the density, the calculation gives 4.4 Mg/m³. The calculated total energy comes out at -13.9650 eV per atom. The density of states at the Fermi level is 0.60 states/eV/cell.

a = 3.5792 Å, b = 4.5971 Å, c = 4.5971 Å
α = 90.00°, β = 90.00°, γ = 90.00°
With the nearest neighbours (Å) after each atom.
Atoms (fractional coordinates):
S1 0.0000 0.0000 0.5000  2 Al 2.30
S2 0.0000 0.5000 0.0000  2 Al 2.30
Al1 0.0000 0.0000 0.0000  2 N 1.79
Mo1 0.5000 0.5000 0.5000  8 S 2.91, 4 N 3.25
N1 0.5000 0.0000 0.0000  2 Al 1.79

# 5
Density functional theory data (SCAN) for a crystal of Be2WBr relaxed with PBEsol.

## Properties
The energy above the lowest structure with this stoichiometry comes out at 7.58 kcal/mol of atoms. For the uncorrected formation energy, the calculation gives 917 meV/atom. Its space-group type is No. 65. For the density, the calculation gives 8.7 Mg/m³. The calculated total energy comes out at -23.5468 eV per atom. The density of states at the Fermi level is 2.00 states/eV/cell.

a = 2.8161 Å, b = 4.5142 Å, c = 4.5142 Å
α = 110.27°, β = 90.00°, γ = 90.00°
With the nearest neighbours (Å) after each atom.
Atoms (fractional coordinates):
W1 0.5000 0.5000 0.5000  2 Br 2.58, 8 Be 2.66, 2 W 2.82
Be1 0.0000 0.0000 0.5000  4 Be 2.58-2.82, 4 W 2.66, 4 Br 2.66
Be2 0.0000 0.5000 0.0000  4 Be 2.58-2.82, 4 Br 2.66, 4 W 2.66
Br1 0.5000 0.0000 0.0000  2 W 2.58, 8 Be 2.66, 2 Br 2.82

# 6
Density functional theory data (SCAN) for a crystal of RuIN2 relaxed with PBEsol.

## Properties
For the uncorrected formation energy, the calculation gives 763 meV/atom. Its space-group type is No. 227. For the density, the calculation gives 5.9 Mg/m³. The calculated total energy comes out at -21.7750 eV per atom. The density of states at the Fermi level is 7.03 states/eV/cell.

a = 5.8872 Å, b = 5.8872 Å, c = 5.8872 Å
α = 60.00°, β = 60.00°, γ = 60.00°
With the nearest neighbours (Å) after each atom.
Atoms (fractional coordinates):
I1 0.7500 0.7500 0.7500  12 N 3.45, 4 Ru 3.61, 4 I 3.61
I2 0.5000 0.5000 0.5000  12 N 3.45, 4 I 3.61, 4 Ru 3.61
N1 0.6250 0.1250 0.1250  2 Ru 1.80
N2 0.1250 0.6250 0.1250  2 Ru 1.80
N3 0.1250 0.1250 0.1250  2 Ru 1.80
N4 0.1250 0.1250 0.6250  2 Ru 1.80
Ru1 0.2500 0.2500 0.2500  4 N 1.80
Ru2 0.0000 0.0000 0.0000  4 N 1.80

# 7
Density functional theory data (SCAN) for a crystal of KAl2CuPt relaxed with PBEsol.

## Properties
Its formation energy is 2.474 eV/f.u. Its space-group type is No. 123. For the density, the calculation gives 5.6 Mg/m³. The calculated total energy comes out at -21.3501 eV per atom. The density of states at the Fermi level is 1.61 states/eV/cell.

a = 4.5458 Å, b = 4.5458 Å, c = 5.0630 Å
α = 90.00°, β = 90.00°, γ = 90.00°
With the nearest neighbours (Å) after each atom.
Atoms (fractional coordinates):
K1 0.0000 0.0000 0.5000  2 Cu 2.53
Pt1 0.5000 0.5000 0.5000  4 K 3.21, 8 Al 3.40
Al1 0.5000 0.0000 0.0000  2 Cu 2.27
Al2 0.0000 0.5000 0.0000  2 Cu 2.27
Cu1 0.0000 0.0000 0.0000  4 Al 2.27, 2 K 2.53

# 8
Density functional theory data (SCAN) for a crystal of ScMoW2 relaxed with PBEsol.

## Properties
The energy above the lowest structure with this stoichiometry comes out at 0.08 kcal/mol of atoms. Its formation energy is 0.642 eV/f.u. Its space-group type is No. 6. For the density, the calculation gives 13.0 Mg/m³. The calculated total energy comes out at -46.9640 eV per atom. The density of states at the Fermi level is 3.23 states/eV/cell.

a = 2.7475 Å, b = 4.4929 Å, c = 5.3491 Å
α = 90.00°, β = 99.48°, γ = 90.00°
With the nearest neighbours (Å) after each atom.
Atoms (fractional coordinates):
Mo1 0.5174 0.0000 0.4982  4 W 2.74-2.80, 2 Mo 2.75, 2 Sc 2.77
Sc1 0.2593 0.5000 0.7481  2 Sc 2.75, 2 Mo 2.77, 4 W 2.79-2.81
W1 0.9799 0.0000 0.0047  4 W 2.73-2.75, 2 Mo 2.80, 2 Sc 2.80
W2 0.7434 0.5000 0.2490  4 W 2.73-2.75, 2 Mo 2.74, 2 Sc 2.79-2.81

Q: Among the records above, which one has the highest calculated total energy?
A: K2Se2O7